#1
# Sr2PSe | Alexandria | GGA-PBEsol | relaxed
data_Sr2PSe
_chemical_formula_sum 'Sr4 P2 Se2'
_space_group_name_H-M_alt 'I -4 m 2'
_space_group_IT_number 119
_space_group_name_Hall 'I -4 -2'
_cell_length_a 4.2842
_cell_length_b 4.2842
_cell_length_c 11.6650
_cell_angle_alpha 90.00
_cell_angle_beta 90.00
_cell_angle_gamma 90.00
loop_
_atom_site_label
_atom_site_type_symbol
_atom_site_fract_x
_atom_site_fract_y
_atom_site_fract_z
Sr1 Sr 0.0000 0.0000 0.0000
Sr2 Sr 0.0000 0.5000 0.2500
P1 P 0.0000 0.5000 0.7500
Se1 Se 0.0000 0.0000 0.5000
# - Volume: 26.76 A^3/atom
# - DOS at the Fermi energy: 2.51 states/eV/f.u.
# - Spin magnetization: 0.0 μB/cell

=====

#2
# Sr2PSe | Alexandria | GGA-PBEsol | relaxed
data_Sr2PSe
_chemical_formula_sum 'Sr8 P4 Se4'
_space_group_name_H-M_alt 'F m -3 m'
_space_group_IT_number 225
_space_group_name_Hall '-F 4 2 3'
_cell_length_a 7.4445
_cell_length_b 7.4445
_cell_length_c 7.4445
_cell_angle_alpha 90.00
_cell_angle_beta 90.00
_cell_angle_gamma 90.00
loop_
_atom_site_label
_atom_site_type_symbol
_atom_site_fract_x
_atom_site_fract_y
_atom_site_fract_z
Sr1 Sr 0.2500 0.2500 0.2500
P1 P 0.0000 0.0000 0.0000
Se1 Se 0.0000 0.0000 0.5000
# - Volume: 25.79 A^3/atom
# - DOS at the Fermi energy: 5.21 states/eV/f.u.
# - Spin magnetization: 0.0 μB/cell

=====

Which structure is most stable? #2, by 103 meV/atom over the runner-up.

=====

#1
# Sr2PSe | Alexandria | GGA-PBEsol | relaxed
data_Sr2PSe
_chemical_formula_sum 'Sr8 P4 Se4'
_space_group_name_H-M_alt 'F -4 3 m'
_space_group_IT_number 216
_space_group_name_Hall 'F -4 2 3'
_cell_length_a 7.3436
_cell_length_b 7.3436
_cell_length_c 7.3436
_cell_angle_alpha 90.00
_cell_angle_beta 90.00
_cell_angle_gamma 90.00
loop_
_atom_site_label
_atom_site_type_symbol
_atom_site_fract_x
_atom_site_fract_y
_atom_site_fract_z
Sr1 Sr 0.0000 0.0000 0.0000
Sr2 Sr 0.2500 0.2500 0.2500
P1 P 0.0000 0.0000 0.5000
Se1 Se 0.2500 0.2500 0.7500
# - Volume: 24.75 A^3/atom
# - DOS at the Fermi energy: 4.27 states/eV/f.u.
# - Spin magnetization: 0.0 μB/cell

=====

#2
# Sr2PSe | Alexandria | GGA-PBEsol | relaxed
data_Sr2PSe
_chemical_formula_sum 'Sr6 P3 Se3'
_space_group_name_H-M_alt 'R -3 m'
_space_group_IT_number 166
_space_group_name_Hall '-R 3 2"'
_cell_length_a 4.2527
_cell_length_b 4.2527
_cell_length_c 22.4894
_cell_angle_alpha 90.00
_cell_angle_beta 90.00
_cell_angle_gamma 120.00
loop_
_atom_site_label
_atom_site_type_symbol
_atom_site_fract_x
_atom_site_fract_y
_atom_site_fract_z
Sr1 Sr 0.0000 0.0000 0.2487
P1 P 0.0000 0.0000 0.0000
Se1 Se 0.0000 0.0000 0.5000
# - Volume: 29.35 A^3/atom
# - DOS at the Fermi energy: 2.68 states/eV/f.u.
# - Spin magnetization: 1.7 μB/cell

=====

Which structure is most stable? #2, by 872 meV/atom over the runner-up.

=====

#1
# ZnPSe | Alexandria | GGA-PBEsol | relaxed
data_ZnPSe
_chemical_formula_sum 'Zn4 P4 Se4'
_space_group_name_H-M_alt 'F -4 3 m'
_space_group_IT_number 216
_space_group_name_Hall 'F -4 2 3'
_cell_length_a 6.0966
_cell_length_b 6.0966
_cell_length_c 6.0966
_cell_angle_alpha 90.00
_cell_angle_beta 90.00
_cell_angle_gamma 90.00
loop_
_atom_site_label
_atom_site_type_symbol
_atom_site_fract_x
_atom_site_fract_y
_atom_site_fract_z
Zn1 Zn 0.0000 0.0000 0.0000
P1 P 0.2500 0.2500 0.2500
Se1 Se 0.2500 0.2500 0.7500
# - Volume: 18.88 A^3/atom
# - DOS at the Fermi energy: 1.63 states/eV/f.u.
# - Spin magnetization: 0.0 μB/cell

=====

#2
# ZnPSe | Alexandria | GGA-PBEsol | relaxed
data_ZnPSe
_chemical_formula_sum 'Zn4 P4 Se4'
_space_group_name_H-M_alt 'F -4 3 m'
_space_group_IT_number 216
_space_group_name_Hall 'F -4 2 3'
_cell_length_a 6.1211
_cell_length_b 6.1211
_cell_length_c 6.1211
_cell_angle_alpha 90.00
_cell_angle_beta 90.00
_cell_angle_gamma 90.00
loop_
_atom_site_label
_atom_site_type_symbol
_atom_site_fract_x
_atom_site_fract_y
_atom_site_fract_z
Zn1 Zn 0.0000 0.0000 0.0000
P1 P 0.2500 0.2500 0.7500
Se1 Se 0.0000 0.0000 0.5000
# - Volume: 19.11 A^3/atom
# - DOS at the Fermi energy: 1.72 states/eV/f.u.
# - Spin magnetization: 0.0 μB/cell

=====

#3
# ZnPSe | Alexandria | GGA-PBEsol | relaxed
data_ZnPSe
_chemical_formula_sum 'Zn2 P2 Se2'
_space_group_name_H-M_alt 'I 4 m m'
_space_group_IT_number 107
_space_group_name_Hall 'I 4 -2'
_cell_length_a 3.4604
_cell_length_b 3.4604
_cell_length_c 10.3581
_cell_angle_alpha 90.00
_cell_angle_beta 90.00
_cell_angle_gamma 90.00
loop_
_atom_site_label
_atom_site_type_symbol
_atom_site_fract_x
_atom_site_fract_y
_atom_site_fract_z
Zn1 Zn 0.0000 0.0000 0.0000
P1 P 0.0000 0.0000 0.5232
Se1 Se 0.0000 0.0000 0.7343
# - Volume: 20.67 A^3/atom
# - DOS at the Fermi energy: 1.07 states/eV/f.u.
# - Spin magnetization: 0.0 μB/cell

=====

Which structure is most stable? #3, by 238 meV/atom over the runner-up.

=====

#1
# ZnPSe2 | Alexandria | GGA-PBEsol | relaxed
data_ZnPSe2
_chemical_formula_sum 'Zn1 P1 Se2'
_space_group_name_H-M_alt 'P m m m'
_space_group_IT_number 47
_cell_length_a 3.5054
_cell_length_b 3.5246
_cell_length_c 7.1171
_cell_angle_alpha 90.00
_cell_angle_beta 90.00
_cell_angle_gamma 90.00
loop_
_space_group_symop_operation_xyz
'x,y,z'
'-x,-y,-z'
'-x,-y,z'
'x,y,-z'
'x,-y,-z'
'-x,y,z'
'-x,y,-z'
'x,-y,z'
loop_
_atom_site_label
_atom_site_type_symbol
_atom_site_fract_x
_atom_site_fract_y
_atom_site_fract_z
Zn1 Zn 0.0000 0.0000 0.0000
P1 P 0.5000 0.0000 0.5000
Se1 Se 0.0000 0.5000 0.5000
Se2 Se 0.5000 0.5000 0.0000
# - Volume: 21.98 A^3/atom
# - DOS at the Fermi energy: 1.73 states/eV/f.u.
# - Spin magnetization: 0.0 μB/cell

=====

#2
# ZnPSe2 | Alexandria | GGA-PBEsol | relaxed
data_ZnPSe2
_chemical_formula_sum 'Zn1 P1 Se2'
_space_group_name_H-M_alt 'P 4/m m m'
_space_group_IT_number 123
_space_group_name_Hall '-P 4 2'
_cell_length_a 3.2304
_cell_length_b 3.2304
_cell_length_c 6.5952
_cell_angle_alpha 90.00
_cell_angle_beta 90.00
_cell_angle_gamma 90.00
loop_
_atom_site_label
_atom_site_type_symbol
_atom_site_fract_x
_atom_site_fract_y
_atom_site_fract_z
Zn1 Zn 0.0000 0.0000 0.0000
P1 P 0.0000 0.0000 0.5000
Se1 Se 0.5000 0.5000 0.2551
# - Volume: 17.21 A^3/atom
# - DOS at the Fermi energy: 1.87 states/eV/f.u.
# - Spin magnetization: 0.0 μB/cell

=====

Which structure is most stable? #1, by 162 meV/atom over the runner-up.

=====

#1
# Si3P | Alexandria | GGA-PBEsol | relaxed
data_Si3P
_chemical_formula_sum 'Si3 P1'
_space_group_name_H-M_alt 'P -6 m 2'
_space_group_IT_number 187
_space_group_name_Hall 'P -6 2'
_cell_length_a 2.6894
_cell_length_b 2.6894
_cell_length_c 8.9492
_cell_angle_alpha 90.00
_cell_angle_beta 90.00
_cell_angle_gamma 120.00
loop_
_atom_site_label
_atom_site_type_symbol
_atom_site_fract_x
_atom_site_fract_y
_atom_site_fract_z
Si1 Si 0.0000 0.0000 0.0000
Si2 Si 0.3333 0.6667 0.2517
P1 P 0.0000 0.0000 0.5000
# - Volume: 14.01 A^3/atom
# - DOS at the Fermi energy: 2.09 states/eV/f.u.
# - Spin magnetization: 0.0 μB/cell

=====

#2
# Si3P | Alexandria | GGA-PBEsol | relaxed
data_Si3P
_chemical_formula_sum 'Si12 P4'
_space_group_name_H-M_alt 'C m c m'
_space_group_IT_number 63
_space_group_name_Hall '-C 2c 2'
_cell_length_a 6.4444
_cell_length_b 8.9706
_cell_length_c 4.2953
_cell_angle_alpha 90.00
_cell_angle_beta 90.00
_cell_angle_gamma 90.00
loop_
_atom_site_label
_atom_site_type_symbol
_atom_site_fract_x
_atom_site_fract_y
_atom_site_fract_z
Si1 Si 0.0000 0.0681 0.2500
Si2 Si 0.2124 0.1923 0.7500
P1 P 0.0000 0.4596 0.2500
# - Volume: 15.52 A^3/atom
# - DOS at the Fermi energy: 1.40 states/eV/f.u.
# - Spin magnetization: 0.0 μB/cell

=====

Which structure is most stable? #2, by 206 meV/atom over the runner-up.

=====

#1
# Sr2SiP | Alexandria | GGA-PBEsol | relaxed
data_Sr2SiP
_chemical_formula_sum 'Sr4 Si2 P2'
_space_group_name_H-M_alt 'I -4 m 2'
_space_group_IT_number 119
_space_group_name_Hall 'I -4 -2'
_cell_length_a 4.3571
_cell_length_b 4.3571
_cell_length_c 10.7603
_cell_angle_alpha 90.00
_cell_angle_beta 90.00
_cell_angle_gamma 90.00
loop_
_atom_site_label
_atom_site_type_symbol
_atom_site_fract_x
_atom_site_fract_y
_atom_site_fract_z
Sr1 Sr 0.0000 0.0000 0.0000
Sr2 Sr 0.0000 0.5000 0.2500
Si1 Si 0.0000 0.5000 0.7500
P1 P 0.0000 0.0000 0.5000
# - Volume: 25.53 A^3/atom
# - DOS at the Fermi energy: 4.21 states/eV/f.u.
# - Spin magnetization: 0.0 μB/cell

=====

#2
# Sr2SiP | Alexandria | GGA-PBEsol | relaxed
data_Sr2SiP
_chemical_formula_sum 'Sr4 Si2 P2'
_space_group_name_H-M_alt 'C m m m'
_space_group_IT_number 65
_space_group_name_Hall '-C 2 2'
_cell_length_a 6.9356
_cell_length_b 8.4182
_cell_length_c 3.3989
_cell_angle_alpha 90.00
_cell_angle_beta 90.00
_cell_angle_gamma 90.00
loop_
_atom_site_label
_atom_site_type_symbol
_atom_site_fract_x
_atom_site_fract_y
_atom_site_fract_z
Sr1 Sr 0.2500 0.2500 0.0000
Si1 Si 0.0000 0.0000 0.5000
P1 P 0.0000 0.5000 0.5000
# - Volume: 24.81 A^3/atom
# - DOS at the Fermi energy: 2.25 states/eV/f.u.
# - Spin magnetization: 0.0 μB/cell

=====

Which structure is most stable? #2, by 157 meV/atom over the runner-up.